(1)
Entry from Alexandria via LeMat-Bulk: a relaxed structure of ScAl2Ag (PBE).

Calculated values
SG	I-42d
formation enthalpy at 0 K	0.056	eV/atom
D(E_F)	0.69	states/eV/atom
E	-4.111	eV/atom

Cell: 4.050 4.050 10.303 Å, 78.67 78.67 90.00°
Atoms (fractional coordinates):
Sc 0.500 0.500 0.000
Sc 0.250 0.750 0.500
Al 0.630 0.125 0.250
Al 0.120 0.625 0.250
Al 0.375 0.370 0.750
Al 0.875 0.880 0.750
Ag 0.000 0.000 0.000
Ag 0.750 0.250 0.500

(2)
Entry from Alexandria via LeMat-Bulk: a relaxed structure of VIn (PBE).

Calculated values
SG	I4/m
formation enthalpy at 0 K	0.230	eV/atom
D(E_F)	1.03	states/eV/atom
E	-5.699	eV/atom

Cell: 10.153 10.153 3.121 Å, 90.00 90.00 90.00°
Atoms (fractional coordinates):
V 0.383 0.068 0.000
V 0.617 0.932 0.000
V 0.932 0.383 0.000
V 0.068 0.617 0.000
V 0.883 0.568 0.500
V 0.117 0.432 0.500
V 0.432 0.883 0.500
V 0.568 0.117 0.500
In 0.178 0.882 0.000
In 0.822 0.118 0.000
In 0.118 0.178 0.000
In 0.882 0.822 0.000
In 0.678 0.382 0.500
In 0.322 0.618 0.500
In 0.618 0.678 0.500
In 0.382 0.322 0.500

(3)
Entry from Alexandria via LeMat-Bulk: a relaxed structure of GePdCCl2 (PBE).

Calculated values
SG	P4/mmm
formation energy (no corrections)	0.88	eV/atom
D(E_F)	0.37	states/eV/atom
E	-3.666	eV/atom

Cell: 4.919 3.951 4.919 Å, 90.00 90.00 90.00°
Atoms (fractional coordinates):
Ge 0.500 0.500 0.500
C 0.000 0.000 0.000
Pd 0.000 0.500 0.000
Cl 0.000 0.000 0.500
Cl 0.500 0.000 0.000

(4)
Entry from Alexandria via LeMat-Bulk: a relaxed structure of NaCa2InI6 (PBE).

Calculated values
SG	R3
formation energy (no corrections)	-1.28	eV/atom
D(E_F)	0.00	states/eV/atom
E	-3.018	eV/atom

Cell: 8.237 8.237 8.665 Å, 61.61 61.61 60.00°
Atoms (fractional coordinates):
Na 0.316 0.316 0.051
Ca 0.511 0.511 0.467
Ca 0.007 0.007 0.980
In 0.810 0.810 0.571
I 0.620 0.247 0.238
I 0.247 0.896 0.238
I 0.896 0.620 0.238
I 0.369 0.739 0.744
I 0.739 0.148 0.744
I 0.148 0.369 0.744

(5)
Entry from Alexandria via LeMat-Bulk: a relaxed structure of K2ZnTc (PBE).

Calculated values
SG	Cmmm
formation enthalpy at 0 K	1.005	eV/atom
D(E_F)	0.80	states/eV/atom
E	-2.454	eV/atom

Cell: 2.844 2.844 11.637 Å, 90.00 90.00 90.26°
Atoms (fractional coordinates):
K 0.000 0.000 0.011
K 0.000 0.000 0.489
Tc 0.500 0.500 0.250
Zn 0.500 0.500 0.750

(6)
Entry from Alexandria via LeMat-Bulk: a relaxed structure of CsNbCS (PBE).

Calculated values
SG	P3m1
formation energy (no corrections)	0.21	eV/atom
energy relative to the lowest polymorph listed for this composition	421.8	meV/atom
E	-5.859	eV/atom

Cell: 4.125 4.125 7.625 Å, 90.00 90.00 120.00°
Atoms (fractional coordinates):
Cs 0.333 0.667 0.520
C 0.000 0.000 0.268
S 0.667 0.333 0.917
Nb 0.000 0.000 0.033

Number 1: M_tot 0.0 Bohr magnetons per cell. Number 2: M_tot 0.0 Bohr magnetons per cell. Number 3: M_tot 0.0 Bohr magnetons per cell. Number 4: M_tot 0.0 Bohr magnetons per cell. Number 5: M_tot 0.0 Bohr magnetons per cell. Number 6: M_tot 0.0 Bohr magnetons per cell.